[1]
AcNd after structural relaxation, computed with PBE.

Cell: 6.9642 6.9642 6.9642 Å, 90.00 90.00 90.00°
Closest atoms and distances in Å follow each position.
Element x y z (fractional)
Ac 0.0000 0.0000 0.0000  6 Nd 3.48
Ac 0.0000 0.5000 0.5000  6 Nd 3.48
Ac 0.5000 0.0000 0.5000  6 Nd 3.48
Ac 0.5000 0.5000 0.0000  6 Nd 3.48
Nd 0.0000 0.0000 0.5000  6 Ac 3.48
Nd 0.0000 0.5000 0.0000  6 Ac 3.48
Nd 0.5000 0.0000 0.0000  6 Ac 3.48
Nd 0.5000 0.5000 0.5000  6 Ac 3.48

Calculated values
Size of the total moment = 3.24 μB/cell
Symmetry = Fm-3m, No. 225
E = -3.763 eV per atom
Offset from the most stable computed form = 631 meV/atom

=====

[2]
AcNd after structural relaxation, computed with PBE.

Cell: 7.2459 7.2459 7.2459 Å, 90.00 90.00 90.00°
Closest atoms and distances in Å follow each position.
Element x y z (fractional)
Ac 0.0000 0.0000 0.0000  4 Nd 3.14
Ac 0.0000 0.5000 0.5000  4 Nd 3.14
Ac 0.5000 0.0000 0.5000  4 Nd 3.14
Ac 0.5000 0.5000 0.0000  4 Nd 3.14
Nd 0.2500 0.2500 0.7500  4 Ac 3.14
Nd 0.2500 0.7500 0.2500  4 Ac 3.14
Nd 0.7500 0.2500 0.2500  4 Ac 3.14
Nd 0.7500 0.7500 0.7500  4 Ac 3.14

Calculated values
Size of the total moment = 0.17 μB/cell
Symmetry = F-43m, No. 216
E = -2.820 eV per atom
Offset from the most stable computed form = 1573 meV/atom

=====

[3]
AcNd after structural relaxation, computed with PBE.

Cell: 3.8782 3.8782 6.1833 Å, 90.00 90.00 120.00°
Closest atoms and distances in Å follow each position.
Element x y z (fractional)
Ac 0.0000 0.0000 0.0000  6 Nd 3.82, 6 Ac 3.88
Nd 0.6667 0.3333 0.5000  6 Ac 3.82, 6 Nd 3.88

Calculated values
Size of the total moment = 0.02 μB/cell
Symmetry = P-6m2, No. 187
E = -4.394 eV per atom
Offset from the most stable computed form = 0 meV/atom

=====

[4]
AcNdNi after structural relaxation, computed with PBE.

Cell: 7.1456 7.1456 7.1456 Å, 90.00 90.00 90.00°
Closest atoms and distances in Å follow each position.
Element x y z (fractional)
Ac 0.0000 0.0000 0.0000  4 Ni 3.09
Ac 0.0000 0.5000 0.5000  4 Ni 3.09
Ac 0.5000 0.0000 0.5000  4 Ni 3.09
Ac 0.5000 0.5000 0.0000  4 Ni 3.09
Nd 0.0000 0.0000 0.5000  4 Ni 3.09
Nd 0.0000 0.5000 0.0000  4 Ni 3.09
Nd 0.5000 0.0000 0.0000  4 Ni 3.09
Nd 0.5000 0.5000 0.5000  4 Ni 3.09
Ni 0.2500 0.2500 0.2500  4 Ac 3.09, 4 Nd 3.09
Ni 0.2500 0.7500 0.7500  4 Ac 3.09, 4 Nd 3.09
Ni 0.7500 0.2500 0.7500  4 Ac 3.09, 4 Nd 3.09
Ni 0.7500 0.7500 0.2500  4 Ac 3.09, 4 Nd 3.09

Calculated values
Size of the total moment = 0.26 μB/cell
Symmetry = F-43m, No. 216
E = -4.808 eV per atom
Offset from the most stable computed form = 0 meV/atom

=====

[5]
AcNdNp after structural relaxation, computed with PBE.

Cell: 7.9249 7.9249 7.9249 Å, 90.00 90.00 90.00°
Closest atoms and distances in Å follow each position.
Element x y z (fractional)
Ac 0.0000 0.0000 0.0000  4 Np 3.43
Ac 0.0000 0.5000 0.5000  4 Np 3.43
Ac 0.5000 0.0000 0.5000  4 Np 3.43
Ac 0.5000 0.5000 0.0000  4 Np 3.43
Nd 0.0000 0.0000 0.5000  4 Np 3.43
Nd 0.0000 0.5000 0.0000  4 Np 3.43
Nd 0.5000 0.0000 0.0000  4 Np 3.43
Nd 0.5000 0.5000 0.5000  4 Np 3.43
Np 0.2500 0.2500 0.2500  4 Ac 3.43, 4 Nd 3.43
Np 0.2500 0.7500 0.7500  4 Ac 3.43, 4 Nd 3.43
Np 0.7500 0.2500 0.7500  4 Ac 3.43, 4 Nd 3.43
Np 0.7500 0.7500 0.2500  4 Ac 3.43, 4 Nd 3.43

Calculated values
Size of the total moment = 21.30 μB/cell
Symmetry = F-43m, No. 216
E = -6.091 eV per atom
Offset from the most stable computed form = 0 meV/atom

=====

[6]
Ac2Nd2O5 after structural relaxation, computed with PBE.

Cell: 4.5226 4.5226 8.1569 Å, 90.00 90.00 90.00°
Closest atoms and distances in Å follow each position.
Element x y z (fractional)
Ac 0.0000 0.0000 0.2250  5 O 2.24-2.34
Ac 0.0000 0.0000 0.7750  5 O 2.24-2.34
Nd 0.5000 0.5000 0.0000  8 O 3.31, 8 Ac 3.69
Nd 0.5000 0.5000 0.5000  8 O 2.80
O 0.0000 0.0000 0.5000  2 Ac 2.24
O 0.0000 0.5000 0.2970  2 Ac 2.34
O 0.0000 0.5000 0.7030  2 Ac 2.34
O 0.5000 0.0000 0.2970  2 Ac 2.34
O 0.5000 0.0000 0.7030  2 Ac 2.34

Calculated values
Size of the total moment = 0.01 μB/cell
Symmetry = P4/mmm, No. 123
E = -6.934 eV per atom
Offset from the most stable computed form = 396 meV/atom

=====

[7]
Ac2Nd2O5 after structural relaxation, computed with PBE.

Cell: 4.5359 4.5359 8.2288 Å, 90.00 90.00 90.00°
Closest atoms and distances in Å follow each position.
Element x y z (fractional)
Ac 0.0000 0.0000 0.0000  8 O 3.11
Ac 0.0000 0.0000 0.5000  12 O 3.01-3.21
Nd 0.5000 0.5000 0.2318  5 O 2.21-2.28
Nd 0.5000 0.5000 0.7682  5 O 2.21-2.28
O 0.0000 0.5000 0.2586  2 Nd 2.28
O 0.0000 0.5000 0.7414  2 Nd 2.28
O 0.5000 0.0000 0.2586  2 Nd 2.28
O 0.5000 0.0000 0.7414  2 Nd 2.28
O 0.5000 0.5000 0.5000  2 Nd 2.21

Calculated values
Size of the total moment = 0.93 μB/cell
Symmetry = P4/mmm, No. 123
E = -7.330 eV per atom
Offset from the most stable computed form = 0 meV/atom

=====

[8]
Ac2NdSbO6 after structural relaxation, computed with PBE.

Cell: 6.1886 6.1886 6.1857 Å, 119.27 119.27 59.26°
Closest atoms and distances in Å follow each position.
Element x y z (fractional)
Ac 0.2488 0.2488 0.2200  5 O 2.43-2.54
Ac 0.7512 0.7512 0.7800  5 O 2.43-2.54
Nd 0.0000 0.0000 0.5000  6 O 2.32-2.39
Sb 0.5000 0.5000 0.0000  6 O 2.27-2.37
O 0.1702 0.6655 0.1651  1 Sb 2.27, 1 Nd 2.32, 1 Ac 2.53
O 0.2526 0.2526 0.6171  1 Sb 2.37, 1 Nd 2.39, 1 Ac 2.43
O 0.3345 0.8298 0.8349  1 Sb 2.27, 1 Nd 2.32, 1 Ac 2.53
O 0.6655 0.1702 0.1651  1 Sb 2.27, 1 Nd 2.32, 1 Ac 2.53
O 0.7474 0.7474 0.3829  1 Sb 2.37, 1 Nd 2.39, 1 Ac 2.43
O 0.8298 0.3345 0.8349  1 Sb 2.27, 1 Nd 2.32, 1 Ac 2.53

Calculated values
Size of the total moment = 0.00 μB/cell
Symmetry = C2/m, No. 12
E = -7.383 eV per atom

=====

[9]
AcNdPb after structural relaxation, computed with PBE.

Cell: 7.8087 7.8087 7.8087 Å, 90.00 90.00 90.00°
Closest atoms and distances in Å follow each position.
Element x y z (fractional)
Ac 0.0000 0.0000 0.0000  4 Pb 3.38
Ac 0.0000 0.5000 0.5000  4 Pb 3.38
Ac 0.5000 0.0000 0.5000  4 Pb 3.38
Ac 0.5000 0.5000 0.0000  4 Pb 3.38
Nd 0.0000 0.0000 0.5000  4 Pb 3.38
Nd 0.0000 0.5000 0.0000  4 Pb 3.38
Nd 0.5000 0.0000 0.0000  4 Pb 3.38
Nd 0.5000 0.5000 0.5000  4 Pb 3.38
Pb 0.2500 0.2500 0.2500  4 Ac 3.38, 4 Nd 3.38
Pb 0.2500 0.7500 0.7500  4 Ac 3.38, 4 Nd 3.38
Pb 0.7500 0.2500 0.7500  4 Ac 3.38, 4 Nd 3.38
Pb 0.7500 0.7500 0.2500  4 Ac 3.38, 4 Nd 3.38

Calculated values
Size of the total moment = 0.61 μB/cell
Symmetry = F-43m, No. 216
E = -4.428 eV per atom
Offset from the most stable computed form = 0 meV/atom

=====

[10]
AcPrNd after structural relaxation, computed with PBE.

Cell: 8.1140 8.1140 8.1140 Å, 90.00 90.00 90.00°
Closest atoms and distances in Å follow each position.
Element x y z (fractional)
Ac 0.0000 0.0000 0.0000  4 Nd 3.51
Ac 0.0000 0.5000 0.5000  4 Nd 3.51
Ac 0.5000 0.0000 0.5000  4 Nd 3.51
Ac 0.5000 0.5000 0.0000  4 Nd 3.51
Pr 0.0000 0.0000 0.5000  4 Nd 3.51
Pr 0.0000 0.5000 0.0000  4 Nd 3.51
Pr 0.5000 0.0000 0.0000  4 Nd 3.51
Pr 0.5000 0.5000 0.5000  4 Nd 3.51
Nd 0.2500 0.2500 0.7500  4 Ac 3.51, 4 Pr 3.51
Nd 0.2500 0.7500 0.2500  4 Ac 3.51, 4 Pr 3.51
Nd 0.7500 0.2500 0.2500  4 Ac 3.51, 4 Pr 3.51
Nd 0.7500 0.7500 0.7500  4 Ac 3.51, 4 Pr 3.51

Calculated values
Size of the total moment = 1.34 μB/cell
Symmetry = F-43m, No. 216
E = -3.899 eV per atom
Offset from the most stable computed form = 0 meV/atom

=====

[11]
RbAcNd after structural relaxation, computed with PBE.

Cell: 8.8687 8.8687 8.8687 Å, 90.00 90.00 90.00°
Closest atoms and distances in Å follow each position.
Element x y z (fractional)
Rb 0.0000 0.0000 0.0000  4 Nd 3.84
Rb 0.0000 0.5000 0.5000  4 Nd 3.84
Rb 0.5000 0.0000 0.5000  4 Nd 3.84
Rb 0.5000 0.5000 0.0000  4 Nd 3.84
Ac 0.0000 0.0000 0.5000  4 Nd 3.84
Ac 0.0000 0.5000 0.0000  4 Nd 3.84
Ac 0.5000 0.0000 0.0000  4 Nd 3.84
Ac 0.5000 0.5000 0.5000  4 Nd 3.84
Nd 0.2500 0.2500 0.7500  4 Ac 3.84, 4 Rb 3.84
Nd 0.2500 0.7500 0.2500  4 Ac 3.84, 4 Rb 3.84
Nd 0.7500 0.2500 0.2500  4 Ac 3.84, 4 Rb 3.84
Nd 0.7500 0.7500 0.7500  4 Ac 3.84, 4 Rb 3.84

Calculated values
Size of the total moment = 7.26 μB/cell
Symmetry = F-43m, No. 216
E = -2.234 eV per atom
Offset from the most stable computed form = 0 meV/atom

=====

[12]
AcNd3S6 after structural relaxation, computed with PBE.

Cell: 11.4535 4.1832 11.7725 Å, 90.00 108.30 90.00°
Closest atoms and distances in Å follow each position.
Element x y z (fractional)
Ac 0.0514 0.2500 0.1934  8 S 3.05-3.19
Ac 0.9486 0.7500 0.8066  8 S 3.05-3.19
Nd 0.1618 0.2500 0.5876  6 S 2.76-2.92
Nd 0.3204 0.7500 0.9969  7 S 2.80-3.04
Nd 0.4451 0.2500 0.3318  6 S 2.77-2.90
Nd 0.5549 0.7500 0.6682  6 S 2.77-2.90
Nd 0.6796 0.2500 0.0031  7 S 2.80-3.04
Nd 0.8382 0.7500 0.4124  6 S 2.76-2.92
S 0.0831 0.7500 0.4060  3 Nd 2.83-2.92
S 0.1190 0.2500 0.9616  2 Nd 3.04, 3 Ac 3.05-3.06
S 0.1950 0.7500 0.7478  3 Nd 2.76-2.83
S 0.2681 0.7500 0.2281  3 Nd 2.90-2.97, 2 Ac 3.17
S 0.3957 0.2500 0.5570  4 Nd 2.81-2.88
S 0.4771 0.2500 0.1085  4 Nd 2.77-2.95
S 0.5229 0.7500 0.8915  4 Nd 2.77-2.95
S 0.6043 0.7500 0.4430  4 Nd 2.81-2.88
S 0.7319 0.2500 0.7719  3 Nd 2.90-2.97, 2 Ac 3.17
S 0.8050 0.2500 0.2522  3 Nd 2.76-2.83
S 0.8810 0.7500 0.0384  2 Nd 3.04, 3 Ac 3.05-3.06
S 0.9169 0.2500 0.5940  3 Nd 2.83-2.92

Calculated values
Size of the total moment = 0.00 μB/cell
Symmetry = P2_1/m, No. 11
E = -6.410 eV per atom

=====

[13]
AcNdSb after structural relaxation, computed with PBE.

Cell: 7.6632 7.6632 7.6632 Å, 90.00 90.00 90.00°
Closest atoms and distances in Å follow each position.
Element x y z (fractional)
Ac 0.0000 0.0000 0.0000  4 Sb 3.32
Ac 0.0000 0.5000 0.5000  4 Sb 3.32
Ac 0.5000 0.0000 0.5000  4 Sb 3.32
Ac 0.5000 0.5000 0.0000  4 Sb 3.32
Nd 0.0000 0.0000 0.5000  4 Sb 3.32
Nd 0.0000 0.5000 0.0000  4 Sb 3.32
Nd 0.5000 0.0000 0.0000  4 Sb 3.32
Nd 0.5000 0.5000 0.5000  4 Sb 3.32
Sb 0.2500 0.2500 0.2500  4 Ac 3.32, 4 Nd 3.32
Sb 0.2500 0.7500 0.7500  4 Ac 3.32, 4 Nd 3.32
Sb 0.7500 0.2500 0.7500  4 Ac 3.32, 4 Nd 3.32
Sb 0.7500 0.7500 0.2500  4 Ac 3.32, 4 Nd 3.32

Calculated values
Size of the total moment = 0.19 μB/cell
Symmetry = F-43m, No. 216
E = -4.909 eV per atom
Offset from the most stable computed form = 0 meV/atom

=====

[14]
AcNd2Se4 after structural relaxation, computed with PBE.

Cell: 7.2944 7.2944 14.2840 Å, 90.00 90.00 146.31°
Closest atoms and distances in Å follow each position.
Element x y z (fractional)
Ac 0.1213 0.8787 0.7500  6 Se 3.09-3.17
Ac 0.8787 0.1213 0.2500  6 Se 3.09-3.17
Nd 0.3708 0.6292 0.5650  6 Se 2.92-3.02
Nd 0.3708 0.6292 0.9350  6 Se 2.92-3.02
Nd 0.6292 0.3708 0.0650  6 Se 2.92-3.02
Nd 0.6292 0.3708 0.4350  6 Se 2.92-3.02
Se 0.0000 0.0000 0.0000  4 Nd 2.93
Se 0.0000 0.0000 0.5000  4 Nd 2.93
Se 0.2730 0.7270 0.1210  3 Nd 2.99-3.02, 2 Ac 3.17
Se 0.2730 0.7270 0.3790  3 Nd 2.99-3.02, 2 Ac 3.17
Se 0.4598 0.5402 0.7500  2 Nd 2.92, 2 Ac 3.09
Se 0.5402 0.4598 0.2500  2 Nd 2.92, 2 Ac 3.09
Se 0.7270 0.2730 0.6210  3 Nd 2.99-3.02, 2 Ac 3.17
Se 0.7270 0.2730 0.8790  3 Nd 2.99-3.02, 2 Ac 3.17

Calculated values
Size of the total moment = 0.01 μB/cell
Symmetry = Cmcm, No. 63
E = -5.862 eV per atom